1.
Material: CsKTaCl6
Method: DFT, PBE
State: relaxed Values from VASP.

The structure in Quantum ESPRESSO input format:
```
&SYSTEM
  ibrav = 0, nat = 18, ntyp = 4
/
ATOMIC_SPECIES
Cl 35.45 Cl.upf
K 39.10 K.upf
Cs 132.91 Cs.upf
Ta 180.95 Ta.upf
CELL_PARAMETERS angstrom
7.6272 0.0000 0.0000
-3.8136 6.6053 0.0000
0.0000 0.0000 13.7760
ATOMIC_POSITIONS crystal
Cl 0.3389 0.4100 0.8524
K 0.6667 0.3333 0.7500
Cl 0.5900 0.9289 0.8524
Cl 0.3389 0.9289 0.6476
Cs 0.0000 0.0000 0.5000
Cl 0.9289 0.5900 0.3524
Cl 0.9289 0.3389 0.1476
K 0.3333 0.6667 0.2500
Cl 0.6611 0.5900 0.1476
Cl 0.0711 0.4100 0.6476
Cs 0.0000 0.0000 0.0000
Cl 0.5900 0.6611 0.6476
Cl 0.6611 0.0711 0.3524
Cl 0.0711 0.6611 0.8524
Cl 0.4100 0.0711 0.1476
Ta 0.6667 0.3333 0.2500
Ta 0.3333 0.6667 0.7500
Cl 0.4100 0.3389 0.3524
```

## Properties
Space-group type: P-31c (163)
Energy (eV/f.u.): -39.34



2.
Material: Cs2KTbCl6
Method: DFT, PBE
State: relaxed Values from VASP.

The structure in Quantum ESPRESSO input format:
```
&SYSTEM
  ibrav = 0, nat = 10, ntyp = 4
/
ATOMIC_SPECIES
Cl 35.45 Cl.upf
Tb 158.93 Tb.upf
Cs 132.91 Cs.upf
K 39.10 K.upf
CELL_PARAMETERS angstrom
8.0342 0.0000 0.0000
4.0171 6.9578 0.0000
4.0171 2.3193 6.5599
ATOMIC_POSITIONS crystal
Cl 0.7665 0.2335 0.2335
Cl 0.2335 0.7665 0.2335
Cl 0.2335 0.7665 0.7665
Tb 0.0000 0.0000 0.0000
Cs 0.7500 0.7500 0.7500
Cl 0.7665 0.7665 0.2335
Cl 0.7665 0.2335 0.7665
K 0.5000 0.5000 0.5000
Cl 0.2335 0.2335 0.7665
Cs 0.2500 0.2500 0.2500
```

## Properties
Space-group type: Fm-3m (225)
Energy (eV/f.u.): -40.13



3.
Material: CsKTeCl6
Method: DFT, PBE
State: relaxed Values from VASP.

The structure in Quantum ESPRESSO input format:
```
&SYSTEM
  ibrav = 0, nat = 9, ntyp = 4
/
ATOMIC_SPECIES
Cs 132.91 Cs.upf
Cl 35.45 Cl.upf
Te 127.60 Te.upf
K 39.10 K.upf
CELL_PARAMETERS angstrom
-3.3876 -6.8695 0.6970
-0.0467 -4.8853 -5.9402
6.2561 -2.8519 2.2964
ATOMIC_POSITIONS crystal
Cs 0.0000 0.0000 0.0000
Cl 0.0566 0.6027 0.7056
Cl 0.6027 0.0566 0.2944
Te 0.3333 0.3333 0.5000
Cl 0.6027 0.3407 0.7056
Cl 0.0566 0.3407 0.2944
Cl 0.3407 0.6027 0.2944
K 0.6666 0.6667 0.5000
Cl 0.3407 0.0566 0.7056
```

## Properties
Space-group type: P312 (149)
Energy (eV/f.u.): -27.53



4.
Material: CsKThCl6
Method: DFT, PBE
State: relaxed Values from VASP.

The structure in Quantum ESPRESSO input format:
```
&SYSTEM
  ibrav = 0, nat = 18, ntyp = 4
/
ATOMIC_SPECIES
Cl 35.45 Cl.upf
K 39.10 K.upf
Cs 132.91 Cs.upf
Th 232.04 Th.upf
CELL_PARAMETERS angstrom
-0.2020 -0.4482 7.8929
-5.0312 -4.2942 -4.3344
9.3699 -10.6119 -0.3628
ATOMIC_POSITIONS crystal
Cl 0.9544 0.6071 0.3585
Cl 0.3929 0.3472 0.3585
Cl 0.3472 0.9544 0.6415
K 0.3333 0.6667 0.2500
Cl 0.6528 0.6071 0.1415
Cl 0.6071 0.9544 0.8585
Cl 0.0456 0.6528 0.8585
Cl 0.9544 0.3472 0.1415
Cl 0.6071 0.6528 0.6415
Cl 0.3929 0.0456 0.1415
Cl 0.3472 0.3929 0.8585
K 0.6667 0.3333 0.7500
Cs 0.0000 0.0000 0.0000
Th 0.3333 0.6667 0.7500
Cs 0.0000 0.0000 0.5000
Cl 0.6528 0.0456 0.3585
Th 0.6667 0.3333 0.2500
Cl 0.0456 0.3929 0.6415
```

## Properties
Space-group type: P-31c (163)
Energy (eV/f.u.): -39.81